Density functional theory data (PBE) for a relaxed structure of Tb8DyTm3.

Cell lengths 7.6358, 7.6358, 9.3512 Å; angles 114.10, 114.10, 90.00 degrees
Element x y z (fractional)
Tm: 0.2500 0.7500 0.5000
Tm: 0.5000 0.5000 0.0000
Tm: 0.7500 0.2500 0.5000
Tb: 0.3758 0.3758 0.2504
Tb: 0.6242 0.1254 0.7496
Tb: 0.8746 0.3758 0.2504
Tb: 0.8746 0.8746 0.2504
Tb: 0.1254 0.6242 0.7496
Tb: 0.3758 0.8746 0.2504
Tb: 0.1254 0.1254 0.7496
Tb: 0.6242 0.6242 0.7496
Dy: 0.0000 0.0000 0.0000

Results
As for the formation energy: 8.62 eV per formula unit.